No. 1
Compound: CaAcNiAu
Source: Alexandria via LeMat-Bulk
Functional: PBE
Structure: optimized geometry

Summary:
Magnetization (μB per atom): 0.000
DOS(E_F) (states/eV/cell): 2.947
Excess energy over the best structure of this formula in the dataset (meV/atom): 0
SG: Amm2

The structure in POSCAR format:
```
CaAcNiAu
1.0
-0.678 -0.822 -4.048
1.424 -4.036 0.581
-5.040 -1.306 3.274
Ca Ac Ni Au
1 1 1 1
Cartesian
-1.508 -0.481 0.350
-3.515 -3.670 -0.830
-4.558 -1.455 1.059
-0.431 -2.686 -1.547
```

***

No. 2
Compound: TaFe2As
Source: Alexandria via LeMat-Bulk
Functional: PBE
Structure: optimized geometry

Summary:
Magnetization (μB per atom): 1.014
DOS(E_F) (states/eV/cell): 4.456
DFT total energy (eV per atom): -8.346
SG: P4mm

The structure in POSCAR format:
```
TaFe2As
1.0
-0.096 -2.923 -1.083
3.115 -0.131 0.076
-0.218 -2.013 5.452
As Fe Ta
1 2 1
Cartesian
1.338 -3.104 3.769
-0.002 -0.014 0.038
1.460 -1.980 0.723
-0.106 -0.975 2.642
```

***

No. 3
Compound: ZnCu2Rh
Source: Alexandria via LeMat-Bulk
Functional: PBE
Structure: optimized geometry

Summary:
Magnetization (μB per atom): 0.000
DOS(E_F) (states/eV/cell): 4.289
DFT total energy (eV per atom): -4.299
SG: P-1

The structure in POSCAR format:
```
ZnCu2Rh
1.0
-2.385 2.929 -0.456
0.125 -2.934 -3.542
-3.381 -4.625 3.912
Zn Cu Rh
2 4 2
Cartesian
-0.738 -1.964 -0.781
-4.904 -2.666 0.694
-3.330 -1.663 -1.112
-2.312 -2.967 1.026
-3.893 -3.976 2.814
-1.749 -0.654 -2.901
-2.063 -0.325 0.801
-3.579 -4.305 -0.888
```

***

No. 4
Compound: AlSi2F
Source: Alexandria via LeMat-Bulk
Functional: PBE
Structure: optimized geometry

Summary:
Magnetization (μB per atom): 0.000
DOS(E_F) (states/eV/cell): 0.204
Excess energy over the best structure of this formula in the dataset (meV/atom): 0
SG: Fm-3m

The structure in POSCAR format:
```
AlSi2F
1.0
0.416 -4.071 1.410
-3.311 -1.949 1.994
-2.134 -3.204 -1.978
Si Al F
2 1 1
Cartesian
-1.257 -2.306 0.356
-3.772 -6.918 1.069
-2.515 -4.612 0.713
0.000 0.000 0.000
```

***

No. 5
Compound: KZnAg2
Source: Alexandria via LeMat-Bulk
Functional: PBE
Structure: optimized geometry

Summary:
Magnetization (μB per atom): 0.000
DOS(E_F) (states/eV/cell): 2.757
DFT total energy (eV per atom): -1.910
SG: I4_1/amd

The structure in POSCAR format:
```
KZnAg2
1.0
5.391 0.000 0.000
0.000 5.391 0.000
2.696 2.696 8.901
Zn K Ag
2 2 4
Cartesian
0.000 0.000 0.000
5.391 2.696 4.451
2.696 2.696 0.000
2.696 5.391 4.451
5.387 1.348 2.225
5.396 4.044 2.225
4.044 2.700 6.676
6.739 2.691 6.676
```

***

No. 6
Compound: As2Pt
Source: Alexandria via LeMat-Bulk
Functional: PBE
Structure: optimized geometry

Summary:
Magnetization (μB per atom): 0.000
DOS(E_F) (states/eV/cell): 1.236
DFT total energy (eV per atom): -5.372
SG: Cmcm

The structure in POSCAR format:
```
As2Pt
1.0
-3.680 5.088 -3.200
0.583 -4.504 5.391
2.408 3.325 2.517
As Pt
4 2
Cartesian
-0.952 5.509 0.545
0.092 3.160 2.648
0.264 -1.599 4.163
-0.780 0.750 2.059
1.721 -0.504 5.930
-2.409 4.414 -1.223
```

***

No. 7
Compound: Mg2TlCr
Source: Alexandria via LeMat-Bulk
Functional: PBE
Structure: optimized geometry

Summary:
Magnetization (μB per atom): 1.041
DOS(E_F) (states/eV/cell): 1.528
Excess energy over the best structure of this formula in the dataset (meV/atom): 24
SG: Pmmm

The structure in POSCAR format:
```
Mg2TlCr
1.0
-3.315 1.288 2.065
-1.853 -0.433 -2.705
-3.048 -6.348 -0.934
Cr Mg Tl
1 2 1
Cartesian
-5.333 -4.443 -1.697
-3.029 -6.255 -0.962
-2.470 -3.484 -1.792
-2.883 -1.052 0.122
```

***

No. 8
Compound: NiOsW3
Source: Alexandria via LeMat-Bulk
Functional: PBE
Structure: optimized geometry

Summary:
Magnetization (μB per atom): 0.000
DOS(E_F) (states/eV/cell): 8.003
Excess energy over the best structure of this formula in the dataset (meV/atom): 0
SG: Pm-3m

The structure in POSCAR format:
```
NiOsW3
1.0
4.405 0.000 0.000
0.000 4.405 0.000
0.000 0.000 4.405
Ni Os W
1 1 3
Cartesian
0.000 0.000 0.000
2.203 2.203 2.203
0.000 2.203 0.000
0.000 0.000 2.203
2.203 0.000 0.000
```

***

No. 9
Compound: YNi2Au
Source: Alexandria via LeMat-Bulk
Functional: PBE
Structure: optimized geometry

Summary:
Magnetization (μB per atom): 0.005
DOS(E_F) (states/eV/cell): 4.555
DFT total energy (eV per atom): -5.696
SG: R3m

The structure in POSCAR format:
```
YNi2Au
1.0
5.334 -0.015 -0.010
3.718 3.824 -0.010
3.718 1.565 3.489
Au Ni Y
1 2 1
Cartesian
9.173 3.860 2.493
12.358 5.201 3.358
3.870 1.629 1.052
6.524 2.745 1.773
```

***

No. 10
Compound: LiYRhPb
Source: Alexandria via LeMat-Bulk
Functional: PBE
Structure: optimized geometry

Summary:
Magnetization (μB per atom): 0.000
DOS(E_F) (states/eV/cell): 1.616
DFT total energy (eV per atom): -5.259
SG: Cm

The structure in POSCAR format:
```
LiYRhPb
1.0
-1.038 3.029 -1.696
-2.880 -0.549 4.651
4.012 2.001 1.118
Li Y Rh Pb
1 1 1 1
Cartesian
-2.155 2.362 1.665
3.189 1.799 1.260
0.668 2.309 -0.155
0.375 1.637 2.694
```

***

No. 11
Compound: CoCuP
Source: Alexandria via LeMat-Bulk
Functional: PBE
Structure: optimized geometry

Summary:
Magnetization (μB per atom): 0.000
DOS(E_F) (states/eV/cell): 2.119
DFT total energy (eV per atom): -5.632
SG: I4mm

The structure in POSCAR format:
```
CoCuP
1.0
-3.900 1.680 1.987
-1.885 -1.138 4.140
3.986 1.195 -2.161
Co Cu P
1 1 1
Cartesian
-5.624 0.527 5.956
-3.871 0.363 4.099
-2.076 0.195 2.199
```

***

No. 12
Compound: Cs3BiAu
Source: Alexandria via LeMat-Bulk
Functional: PBE
Structure: optimized geometry

Summary:
Magnetization (μB per atom): 0.000
DOS(E_F) (states/eV/cell): 8.639
Excess energy over the best structure of this formula in the dataset (meV/atom): 0
SG: P2_1/c

The structure in POSCAR format:
```
Cs3BiAu
1.0
10.666 0.000 0.000
0.000 7.646 -0.788
0.000 1.124 12.275
Cs Bi Au
12 4 4
Cartesian
0.460 2.145 4.149
10.206 6.625 7.338
5.793 6.063 1.200
4.873 2.707 10.287
4.898 2.329 4.657
5.768 6.440 6.830
10.230 5.878 0.692
0.435 2.892 10.795
8.588 2.819 7.434
2.078 5.950 4.054
3.255 6.512 10.191
7.411 2.257 1.296
2.942 3.246 1.230
7.724 5.524 10.258
8.275 4.962 4.120
2.391 3.808 7.367
8.070 7.786 3.841
2.596 0.983 7.647
2.737 0.421 1.509
7.929 8.348 9.978
```

***

No. 13
Compound: Ba3BeSb3
Source: Alexandria via LeMat-Bulk
Functional: PBE
Structure: optimized geometry

Summary:
Magnetization (μB per atom): 0.000
DOS(E_F) (states/eV/cell): 22.440
DFT total energy (eV per atom): -3.902
SG: Cmce

The structure in POSCAR format:
```
Ba3BeSb3
1.0
-3.601 -4.790 3.846
0.220 -3.313 -10.513
11.967 -7.018 2.463
Ba Be Sb
12 4 12
Cartesian
7.735 -9.339 4.783
1.362 -6.349 3.969
7.004 -5.459 2.339
0.631 -2.470 1.525
4.464 -4.938 -5.908
8.804 -9.478 0.374
-1.511 -6.209 0.098
5.416 -9.618 -2.972
4.122 -10.184 1.704
-0.217 -5.643 -4.578
10.097 -8.913 -4.302
3.171 -5.503 -1.232
4.665 -8.272 -5.936
-0.262 -0.945 -1.422
3.921 -6.849 1.732
-3.119 -7.159 -5.245
10.101 -7.259 2.966
3.710 -4.292 2.170
4.656 -7.516 4.139
-1.735 -4.550 3.343
2.869 -7.544 -4.179
7.215 -11.907 2.576
0.152 -3.514 -1.703
6.938 -7.279 -5.103
5.718 -7.578 -0.026
1.372 -3.215 -6.780
8.435 -11.608 -2.502
1.649 -7.843 0.899
```

***

No. 14
Compound: Ga5Hg12As3
Source: Alexandria via LeMat-Bulk
Functional: PBE
Structure: optimized geometry

Summary:
Magnetization (μB per atom): 0.000
DOS(E_F) (states/eV/cell): 36.412
DFT total energy (eV per atom): -1.470
SG: Ia-3d

The structure in POSCAR format:
```
Ga5Hg12As3
1.0
-8.109 -6.343 -9.744
12.526 -6.594 0.741
-6.421 -0.621 12.622
As Ga Hg
12 20 48
Cartesian
-2.187 -7.307 -5.452
1.496 -10.573 -6.392
2.340 -7.712 4.791
-2.870 -2.643 2.390
-7.135 -6.529 -5.278
3.183 -6.655 -0.035
-5.187 -6.903 3.654
5.131 -7.029 8.897
0.865 -10.915 1.229
-4.345 -5.846 -1.171
-3.501 -2.985 10.012
0.183 -6.251 9.072
2.078 -3.421 2.216
6.263 -3.297 0.371
0.000 0.000 0.000
-0.712 -4.105 -1.891
-7.265 -3.482 1.439
2.208 -6.468 -4.501
5.973 -5.971 4.071
-10.135 -6.125 3.829
-0.661 -9.111 -2.111
-6.291 -3.669 5.905
4.287 -9.889 -2.286
-1.002 -6.779 1.810
-4.055 -3.171 -4.872
-3.211 -0.311 6.311
-1.343 -4.447 5.731
8.130 -7.433 -0.209
3.052 -3.608 6.682
-7.977 -7.587 -0.452
-1.292 -9.453 5.510
-4.083 -10.137 1.404
-4.675 -5.525 -6.314
1.589 -6.001 2.637
-4.731 -8.595 -5.525
-2.448 -5.136 -3.621
-0.054 -9.059 3.191
-1.598 -9.867 -6.564
4.435 -7.381 2.423
9.830 -6.462 1.590
2.841 -10.271 3.634
0.490 -8.716 -4.476
-3.062 -8.029 -2.483
4.559 -11.386 -6.640
4.537 -5.988 6.309
1.693 -5.233 -2.008
8.409 -6.993 4.373
-5.285 -3.733 3.444
-0.125 -1.941 2.054
4.389 -7.305 -2.904
2.829 -11.324 -3.985
3.471 -3.490 -0.048
3.873 -9.049 6.790
0.683 -8.028 -0.089
-0.756 -11.671 -1.398
-7.924 -7.580 4.085
-2.688 -5.530 3.708
-1.249 -1.887 5.018
5.919 -5.978 -0.466
-4.834 -2.234 7.604
-5.878 -4.509 -3.171
-5.476 -10.068 3.668
-6.393 -6.253 6.523
3.281 -9.825 0.175
-1.879 -11.616 1.565
-10.414 -6.565 -0.754
-6.541 -7.570 -2.690
-6.564 -2.172 10.259
-3.697 -8.325 5.628
-4.846 -3.287 -0.015
-2.494 -4.842 8.095
1.057 -5.528 6.102
-11.835 -7.096 2.029
-6.439 -6.177 1.197
0.443 -8.422 7.241
-0.406 -3.691 10.183
-1.951 -4.499 0.429
2.727 -4.963 9.144
-3.594 -7.557 0.983
2.670 -8.032 9.933
```